CuTcAsW | GGA-PBE | relaxed

Cell: 4.3708 4.3708 4.3708 Å, 60.00 60.00 60.00°
Closest atoms and distances in Å follow each position.
Sites, in units of the cell vectors:
1 As 0.0000 0.0000 0.0000  4 Tc 2.68, 4 Cu 2.68
2 Cu 0.7500 0.7500 0.7500  4 W 2.68, 4 As 2.68
3 Tc 0.2500 0.2500 0.2500  4 W 2.68, 4 As 2.68
4 W 0.5000 0.5000 0.5000  4 Tc 2.68, 4 Cu 2.68

Summary:
Crystal system: cubic
Electronic total energy (eV per atom): -7.53
Space-group type: No. 216

ZnCuTcAs | GGA-PBE | relaxed

Cell: 4.3949 4.3949 4.3949 Å, 60.00 60.00 60.00°
Closest atoms and distances in Å follow each position.
Sites, in units of the cell vectors:
1 As 0.0000 0.0000 0.0000  4 Cu 2.69, 4 Zn 2.69
2 Cu 0.7500 0.7500 0.7500  4 As 2.69, 4 Tc 2.69
3 Tc 0.5000 0.5000 0.5000  4 Cu 2.69, 4 Zn 2.69
4 Zn 0.2500 0.2500 0.2500  4 As 2.69, 4 Tc 2.69

Summary:
Distance to the lowest polymorph of the same formula (meV per atom): 346.0
Crystal system: cubic
Space-group type: No. 216